Material: KLi2FeO
Method: DFT, GGA+U
State: optimized geometry

Properties
**E_tot**: -0.1194 Ha/atom
**Mass density**: 1.73 g/cm3
**Excess energy over the best structure of this formula in the dataset**: 67.2 kJ/mol of formula units
**M_tot**: 3.427 Bohr magnetons per cell

Unit cell a=5.606 b=5.606 c=3.814 alpha=90.00 beta=90.00 gamma=90.00
Positions (direct):
K1 0.000 0.000 0.000
Li1 0.000 0.500 0.500
Li2 0.500 0.000 0.500
Fe1 0.500 0.500 0.500
O1 0.500 0.500 0.000